1.
Compound: TmInPt
Source: the Alexandria database
Functional: PBE-GGA
Structure: relaxed

Size of the total moment   0.001 μB/cell
E   -5.3022 eV per atom
Symmetry   F-43m, No. 216
ΔH_f (0 K)   -885.3 meV/atom

The structure in POSCAR format:
```
TmInPt
1.0
6.623 0.000 0.000
0.000 6.623 0.000
0.000 0.000 6.623
Tm In Pt
4 4 4
Direct
0.000 0.000 0.000 Tm
0.000 0.500 0.500 Tm
0.500 0.000 0.500 Tm
0.500 0.500 0.000 Tm
0.000 0.000 0.500 In
0.000 0.500 0.000 In
0.500 0.000 0.000 In
0.500 0.500 0.500 In
0.250 0.250 0.250 Pt
0.250 0.750 0.750 Pt
0.750 0.250 0.750 Pt
0.750 0.750 0.250 Pt
```



2.
Compound: Tm2In3Pt
Source: the Alexandria database
Functional: PBE-GGA
Structure: relaxed

Size of the total moment   0.000 μB/cell
E   -4.4620 eV per atom
Symmetry   Pmm2, No. 25
ΔH_f (0 K)   -595.4 meV/atom

The structure in POSCAR format:
```
Tm2In3Pt
1.0
3.539 0.000 0.000
0.000 4.835 0.000
0.000 0.000 8.273
Tm In Pt
2 3 1
Direct
0.000 0.000 0.000 Tm
0.000 0.500 0.438 Tm
0.500 0.000 0.615 In
0.500 0.500 0.132 In
0.500 0.500 0.791 In
0.500 0.000 0.286 Pt
```



3.
Compound: TmInPt4
Source: the Alexandria database
Functional: PBE-GGA
Structure: relaxed

Size of the total moment   0.000 μB/cell
E   -5.8305 eV per atom
Symmetry   Amm2, No. 38
E above lowest polymorph   201 meV per atom
ΔH_f (0 K)   -601.6 meV/atom

The structure in POSCAR format:
```
TmInPt4
1.0
5.485 0.000 0.000
0.000 8.255 0.000
0.000 0.000 5.489
Tm In Pt
2 2 8
Direct
0.000 0.000 0.000 Tm
0.000 0.500 0.500 Tm
0.500 0.000 0.502 In
0.500 0.500 0.002 In
0.252 0.250 0.251 Pt
0.252 0.250 0.751 Pt
0.252 0.750 0.251 Pt
0.252 0.750 0.751 Pt
0.748 0.250 0.251 Pt
0.748 0.250 0.751 Pt
0.748 0.750 0.251 Pt
0.748 0.750 0.751 Pt
```



4.
Compound: TmIn2Pt9
Source: the Alexandria database
Functional: PBE-GGA
Structure: relaxed

Size of the total moment   0.000 μB/cell
E   -5.9725 eV per atom
Symmetry   P4/mmm, No. 123
ΔH_f (0 K)   -612.9 meV/atom

The structure in POSCAR format:
```
TmIn2Pt9
1.0
4.067 0.000 0.000
0.000 4.067 0.000
0.000 0.000 12.167
Tm In Pt
1 2 9
Direct
0.000 0.000 0.000 Tm
0.000 0.000 0.335 In
0.000 0.000 0.665 In
0.000 0.500 0.169 Pt
0.000 0.500 0.500 Pt
0.000 0.500 0.831 Pt
0.500 0.000 0.169 Pt
0.500 0.000 0.500 Pt
0.500 0.000 0.831 Pt
0.500 0.500 0.000 Pt
0.500 0.500 0.334 Pt
0.500 0.500 0.666 Pt
```



5.
Compound: TmInPt2
Source: the Alexandria database
Functional: PBE-GGA
Structure: relaxed

Size of the total moment   0.000 μB/cell
E   -5.7241 eV per atom
Symmetry   P4/mmm, No. 123
ΔH_f (0 K)   -901.2 meV/atom

The structure in POSCAR format:
```
TmInPt2
1.0
3.460 0.000 0.000
0.000 3.460 0.000
0.000 0.000 6.455
Tm In Pt
1 1 2
Direct
0.000 0.000 0.000 Tm
0.000 0.000 0.500 In
0.500 0.500 0.257 Pt
0.500 0.500 0.743 Pt
```



6.
Compound: TmIn2Pt
Source: the Alexandria database
Functional: PBE-GGA
Structure: relaxed

Size of the total moment   0.000 μB/cell
E   -4.5596 eV per atom
Symmetry   P4/mmm, No. 123
ΔH_f (0 K)   -562.3 meV/atom

The structure in POSCAR format:
```
TmIn2Pt
1.0
4.289 0.000 0.000
0.000 4.289 0.000
0.000 0.000 4.693
Tm In Pt
1 2 1
Direct
0.000 0.000 0.000 Tm
0.000 0.500 0.500 In
0.500 0.000 0.500 In
0.500 0.500 0.000 Pt
```